Here is a crystal of NaScPd3 relaxed with PBEsol from Alexandria via LeMat-Bulk. Energies are from SCAN.

Values from the calculation:
The raw total energy is -23.20 eV per atom. The calculation puts the calculated density at 5.92 g cm⁻³. As for the space-group type: Pm-3m, No. 221. As for the formation energy: 155 meV per atom. The calculation puts the size of the total moment at 0.0 μB/f.u.

Cell: 4.770 4.770 4.770 Å, 90.00 90.00 90.00°
Element x y z (fractional)
Na  0.000  0.000  0.000
Sc  0.500  0.500  0.500
Pd  0.000  0.500  0.500
Pd  0.500  0.000  0.500
Pd  0.500  0.500  0.000

***

Here is a crystal of NaSc3Pd relaxed with PBEsol from Alexandria via LeMat-Bulk. Energies are from SCAN.

Values from the calculation:
The raw total energy is -16.01 eV per atom. The calculation puts the calculated density at 3.28 g cm⁻³. As for the space-group type: Pm-3m, No. 221. As for the formation energy: -69 meV per atom. The calculation puts the size of the total moment at 0.0 μB/f.u.

Cell: 5.116 5.116 5.116 Å, 90.00 90.00 90.00°
Element x y z (fractional)
Na  0.000  0.000  0.000
Sc  0.000  0.500  0.500
Sc  0.500  0.000  0.500
Sc  0.500  0.500  0.000
Pd  0.500  0.500  0.500

***

Here is a crystal of NaSi2Pd2 relaxed with PBEsol from Alexandria via LeMat-Bulk. Energies are from SCAN.

Values from the calculation:
The raw total energy is -18.49 eV per atom. The calculation puts the calculated density at 5.82 g cm⁻³. As for the space-group type: I4/mmm, No. 139. The value obtained for the uncorrected formation energy is -0.529 eV per atom. The calculation puts the size of the total moment at 0.0 μB/f.u.

Cell: 5.702 5.702 5.702 Å, 137.61 137.61 61.50°
Element x y z (fractional)
Na  0.000  0.000  0.000
Si  0.380  0.380  0.000
Si  0.620  0.620  0.000
Pd  0.250  0.750  0.500
Pd  0.750  0.250  0.500

***

Here is a crystal of Na2SiPd2 relaxed with PBEsol from Alexandria via LeMat-Bulk. Energies are from SCAN.

Values from the calculation:
The raw total energy is -17.19 eV per atom. The calculation puts the calculated density at 5.12 g cm⁻³. As for the space-group type: P4/mbm, No. 127. The value obtained for the uncorrected formation energy is -0.388 eV per atom. The calculation puts the size of the total moment at 0.0 μB/f.u.

Cell: 6.113 6.113 4.977 Å, 90.00 90.00 90.00°
Element x y z (fractional)
Na  0.172  0.328  0.000
Na  0.328  0.828  0.000
Na  0.672  0.172  0.000
Na  0.828  0.672  0.000
Si  0.000  0.000  0.500
Si  0.500  0.500  0.500
Pd  0.154  0.654  0.500
Pd  0.346  0.154  0.500
Pd  0.654  0.846  0.500
Pd  0.846  0.346  0.500

***

Here is a crystal of Na3SiPd relaxed with PBEsol from Alexandria via LeMat-Bulk. Energies are from SCAN.

Values from the calculation:
The raw total energy is -10.35 eV per atom. The calculation puts the calculated density at 2.17 g cm⁻³. As for the space-group type: Pm-3m, No. 221. The value obtained for the uncorrected formation energy is 0.741 eV per atom. The calculation puts the size of the total moment at 1.1 μB/f.u.

Cell: 5.379 5.379 5.379 Å, 90.00 90.00 90.00°
Element x y z (fractional)
Na  0.000  0.000  0.500
Na  0.000  0.500  0.000
Na  0.500  0.000  0.000
Si  0.000  0.000  0.000
Pd  0.500  0.500  0.500

***

Here is a crystal of NaSn2Pd2 relaxed with PBEsol from Alexandria via LeMat-Bulk. Energies are from SCAN.

Values from the calculation:
The raw total energy is -28.73 eV per atom. The calculation puts the calculated density at 7.06 g cm⁻³. As for the space-group type: I4/mmm, No. 139. As for the formation energy: -407 meV per atom. The calculation puts the size of the total moment at 0.0 μB/f.u.

Cell: 6.412 6.412 6.412 Å, 139.22 139.22 59.04°
Element x y z (fractional)
Na  0.000  0.000  0.000
Sn  0.372  0.372  0.000
Sn  0.628  0.628  0.000
Pd  0.250  0.750  0.500
Pd  0.750  0.250  0.500

***

Here is a crystal of NaSn3Pd relaxed with PBEsol from Alexandria via LeMat-Bulk. Energies are from SCAN.

Values from the calculation:
The raw total energy is -28.00 eV per atom. The calculation puts the calculated density at 5.90 g cm⁻³. As for the space-group type: Pm-3m, No. 221. As for the formation energy: 950 meV per atom. The calculation puts the size of the total moment at 0.0 μB/f.u.

Cell: 5.150 5.150 5.150 Å, 90.00 90.00 90.00°
Element x y z (fractional)
Na  0.000  0.000  0.000
Sn  0.000  0.000  0.500
Sn  0.000  0.500  0.000
Sn  0.500  0.000  0.000
Pd  0.500  0.500  0.500

***

Here is a crystal of NaSn2Pd2 relaxed with PBEsol from Alexandria via LeMat-Bulk. Energies are from SCAN.

Values from the calculation:
The raw total energy is -28.70 eV per atom. The calculation puts the calculated density at 8.07 g cm⁻³. As for the space-group type: P4/mbm, No. 127. As for the formation energy: -376 meV per atom. The calculation puts the size of the total moment at 0.0 μB/f.u.

Cell: 8.014 8.014 3.031 Å, 90.00 90.00 90.00°
Element x y z (fractional)
Na  0.000  0.000  0.000
Na  0.500  0.500  0.000
Sn  0.140  0.360  0.000
Sn  0.360  0.860  0.000
Sn  0.640  0.140  0.000
Sn  0.860  0.640  0.000
Pd  0.156  0.656  0.500
Pd  0.344  0.156  0.500
Pd  0.656  0.844  0.500
Pd  0.844  0.344  0.500

***

Here is a crystal of NaSnPdW2 relaxed with PBEsol from Alexandria via LeMat-Bulk. Energies are from SCAN.

Values from the calculation:
The raw total energy is -40.56 eV per atom. The calculation puts the calculated density at 8.76 g cm⁻³. As for the space-group type: P4/mmm, No. 123. As for the formation energy: 1893 meV per atom. The calculation puts the size of the total moment at 2.2 μB/f.u.

Cell: 4.838 4.838 4.988 Å, 90.00 90.00 90.00°
Element x y z (fractional)
Na  0.000  0.000  0.000
Sn  0.500  0.500  0.000
Pd  0.500  0.500  0.500
W  0.000  0.500  0.500
W  0.500  0.000  0.500

***

Here is a crystal of NaSr2Pd2 relaxed with PBEsol from Alexandria via LeMat-Bulk. Energies are from SCAN.

Values from the calculation:
The raw total energy is -23.31 eV per atom. The calculation puts the calculated density at 5.09 g cm⁻³. As for the space-group type: P4/mbm, No. 127. As for the formation energy: -449 meV per atom. The calculation puts the size of the total moment at 0.0 μB/f.u.

Cell: 8.077 8.077 4.109 Å, 90.00 90.00 90.00°
Element x y z (fractional)
Na  0.000  0.000  0.000
Na  0.500  0.500  0.000
Sr  0.167  0.333  0.500
Sr  0.333  0.833  0.500
Sr  0.667  0.167  0.500
Sr  0.833  0.667  0.500
Pd  0.121  0.621  0.000
Pd  0.379  0.121  0.000
Pd  0.621  0.879  0.000
Pd  0.879  0.379  0.000

***

Here is a crystal of NaSrTl2Pd relaxed with PBEsol from Alexandria via LeMat-Bulk. Energies are from SCAN.

Values from the calculation:
The raw total energy is -39.76 eV per atom. The calculation puts the calculated density at 5.13 g cm⁻³. As for the space-group type: P4/mmm, No. 123. As for the formation energy: 1032 meV per atom. The calculation puts the size of the total moment at 0.0 μB/f.u.

Cell: 5.919 5.919 5.782 Å, 90.00 90.00 90.00°
Element x y z (fractional)
Na  0.000  0.000  0.000
Sr  0.000  0.000  0.500
Tl  0.000  0.500  0.500
Tl  0.500  0.000  0.500
Pd  0.500  0.500  0.000

***

Here is a crystal of NaSrYPd2 relaxed with PBEsol from Alexandria via LeMat-Bulk. Energies are from SCAN.

Values from the calculation:
The raw total energy is -23.64 eV per atom. The calculation puts the calculated density at 5.72 g cm⁻³. As for the space-group type: P4/mmm, No. 123. As for the formation energy: 334 meV per atom. The calculation puts the size of the total moment at 0.0 μB/f.u.

Cell: 4.982 4.982 4.827 Å, 90.00 90.00 90.00°
Element x y z (fractional)
Na  0.000  0.000  0.000
Sr  0.000  0.000  0.500
Y  0.500  0.500  0.500
Pd  0.000  0.500  0.000
Pd  0.500  0.000  0.000

***

Here is a crystal of Na3TaPd relaxed with PBEsol from Alexandria via LeMat-Bulk. Energies are from SCAN.

Values from the calculation:
The raw total energy is -21.09 eV per atom. The calculation puts the calculated density at 4.22 g cm⁻³. As for the space-group type: Pm-3m, No. 221. As for the formation energy: 1313 meV per atom. The calculation puts the size of the total moment at 4.2 μB/f.u.

Cell: 5.195 5.195 5.195 Å, 90.00 90.00 90.00°
Element x y z (fractional)
Na  0.000  0.000  0.500
Na  0.000  0.500  0.000
Na  0.500  0.000  0.000
Ta  0.500  0.500  0.500
Pd  0.000  0.000  0.000

***

Here is a crystal of NaTa3Pd relaxed with PBEsol from Alexandria via LeMat-Bulk. Energies are from SCAN.

Values from the calculation:
The raw total energy is -45.78 eV per atom. The calculation puts the calculated density at 9.69 g cm⁻³. As for the space-group type: Pm-3m, No. 221. As for the formation energy: 1564 meV per atom. The calculation puts the size of the total moment at 0.0 μB/f.u.

Cell: 4.865 4.865 4.865 Å, 90.00 90.00 90.00°
Element x y z (fractional)
Na  0.000  0.000  0.000
Ta  0.000  0.500  0.500
Ta  0.500  0.000  0.500
Ta  0.500  0.500  0.000
Pd  0.500  0.500  0.500